[1]
Compound: LiHfCo2
Source: OQMD
Functional: GGA-PBE
Structure: relaxed

Properties
crystal system	cubic
magnetic moment	6.30	μB/cell

Structure (CIF):
```
data_LiHfCo2
_chemical_formula_sum 'Li4 Hf4 Co8'
_cell_length_a 5.918
_cell_length_b 5.918
_cell_length_c 5.918
_cell_angle_alpha 90.00
_cell_angle_beta 90.00
_cell_angle_gamma 90.00
_space_group_name_H-M_alt 'F -4 3 m'
_space_group_IT_number 216
_space_group_name_Hall 'F -4 2 3'
loop_
_atom_site_label
_atom_site_type_symbol
_atom_site_fract_x
_atom_site_fract_y
_atom_site_fract_z
Li1 Li 0.000 0.000 0.000
Hf1 Hf 0.250 0.250 0.250
Co1 Co 0.000 0.000 0.500
Co2 Co 0.250 0.250 0.750
```

---

[2]
Compound: LiHfCo
Source: OQMD
Functional: GGA-PBE
Structure: relaxed

Properties
crystal system	cubic
ΔE to the lowest computed polymorph	0.000	eV per atom
magnetic moment	0.00	μB/cell

Structure (CIF):
```
data_LiHfCo
_chemical_formula_sum 'Li4 Hf4 Co4'
_cell_length_a 5.631
_cell_length_b 5.631
_cell_length_c 5.631
_cell_angle_alpha 90.00
_cell_angle_beta 90.00
_cell_angle_gamma 90.00
_space_group_name_H-M_alt 'F -4 3 m'
_space_group_IT_number 216
_space_group_name_Hall 'F -4 2 3'
loop_
_atom_site_label
_atom_site_type_symbol
_atom_site_fract_x
_atom_site_fract_y
_atom_site_fract_z
Li1 Li 0.000 0.000 0.000
Hf1 Hf 0.250 0.250 0.250
Co1 Co 0.250 0.250 0.750
```

---

[3]
Compound: LiHfCo
Source: OQMD
Functional: GGA-PBE
Structure: relaxed

Properties
crystal system	cubic
ΔE to the lowest computed polymorph	0.073	eV per atom
magnetic moment	0.00	μB/cell

Structure (CIF):
```
data_LiHfCo
_chemical_formula_sum 'Li4 Hf4 Co4'
_cell_length_a 5.917
_cell_length_b 5.917
_cell_length_c 5.917
_cell_angle_alpha 90.00
_cell_angle_beta 90.00
_cell_angle_gamma 90.00
_space_group_name_H-M_alt 'F -4 3 m'
_space_group_IT_number 216
_space_group_name_Hall 'F -4 2 3'
loop_
_atom_site_label
_atom_site_type_symbol
_atom_site_fract_x
_atom_site_fract_y
_atom_site_fract_z
Li1 Li 0.000 0.000 0.000
Hf1 Hf 0.250 0.250 0.750
Co1 Co 0.000 0.000 0.500
```

---

E_tot for every record listed, in sequence, given in eV/atom: -6.43, -5.75, -5.67.